[1]
VASP calculation (GGA-PBE) on crystalline Sr3Bi4Rh4 at its relaxed geometry.

extended XYZ file:
```
11
Lattice="-4.465 -0.739 5.674 2.350 -6.538 -2.097 5.669 4.112 1.902" Properties=species:S:1:pos:R:3 pbc="T T T"
Sr -1.057 -3.639 1.788
Sr 0.602 1.687 3.788
Sr 4.009 -1.213 -0.097
Bi 1.454 -4.045 -1.297
Bi -2.762 -0.457 3.510
Bi 3.508 2.544 1.177
Bi 1.355 -1.207 2.089
Rh 0.597 -1.661 -0.533
Rh 1.440 1.045 0.483
Rh -1.134 -0.188 1.441
Rh 2.651 -2.361 4.087
```

Calculated values
M_tot   0.47 μB per formula unit
Symmetry   I-43m, No. 217
VASP energy   -4.977 eV per atom

[2]
VASP calculation (GGA-PBE) on crystalline Sr2Bi3Rh2 at its relaxed geometry.

extended XYZ file:
```
7
Lattice="-0.538 -3.752 2.391 0.847 -1.178 -5.858 7.265 1.275 3.635" Properties=species:S:1:pos:R:3 pbc="T T T"
Sr 1.625 -3.747 -1.316
Sr 5.949 0.092 1.483
Bi -0.269 -1.876 1.195
Bi 3.112 -2.119 1.575
Bi 4.462 -1.537 -1.408
Rh 5.616 -3.100 0.598
Rh 1.958 -0.555 -0.431
```

Calculated values
M_tot   0.00 μB per formula unit
Symmetry   C2/m, No. 12
VASP energy   -4.682 eV per atom

[3]
VASP calculation (GGA-PBE) on crystalline SrBiRh at its relaxed geometry.

extended XYZ file:
```
12
Lattice="-0.663 -7.520 2.173 2.488 -4.659 -5.198 6.268 -2.633 2.948" Properties=species:S:1:pos:R:3 pbc="T T T"
Sr 6.854 -6.854 -0.176
Sr 5.616 -11.605 -1.026
Sr 1.239 -7.959 0.099
Sr 2.476 -3.208 0.949
Rh 5.176 -4.165 -0.066
Rh 3.286 -5.178 -4.139
Rh 2.916 -10.648 -0.011
Rh 4.806 -9.635 4.062
Bi 4.573 -9.036 1.421
Bi 2.683 -10.049 -2.652
Bi 3.520 -5.777 -1.498
Bi 5.410 -4.764 2.575
```

Calculated values
M_tot   0.00 μB per formula unit
Symmetry   P2_1/m, No. 11
VASP energy   -4.823 eV per atom

[4]
VASP calculation (GGA-PBE) on crystalline Sr2BiRh at its relaxed geometry.

extended XYZ file:
```
8
Lattice="10.984 0.000 0.000 0.000 10.984 0.000 5.492 5.492 2.627" Properties=species:S:1:pos:R:3 pbc="T T T"
Sr 6.401 2.746 0.657
Sr 4.582 8.238 0.657
Sr 8.238 10.074 1.971
Sr 13.730 11.893 1.971
Rh 5.492 5.492 0.000
Rh 5.492 10.984 1.314
Bi 0.000 0.000 0.000
Bi 10.984 5.492 1.314
```

Calculated values
M_tot   0.00 μB per formula unit
Symmetry   I-42d, No. 122
VASP energy   -3.992 eV per atom

[5]
VASP calculation (GGA-PBE) on crystalline Sr2BiRh2 at its relaxed geometry.

extended XYZ file:
```
5
Lattice="-1.033 -4.580 -3.737 -1.283 -3.529 4.681 -4.952 -3.000 0.228" Properties=species:S:1:pos:R:3 pbc="T T T"
Sr -3.571 -5.817 -1.519
Sr -3.696 -5.292 2.690
Rh -2.403 -3.709 0.392
Rh -4.864 -7.401 0.780
Bi 0.000 0.000 0.000
```

Calculated values
M_tot   0.00 μB per formula unit
Symmetry   I4/mmm, No. 139
VASP energy   -4.517 eV per atom
Excess energy over the best structure of this formula in the dataset   233.3 meV per atom

[6]
VASP calculation (GGA-PBE) on crystalline SrBi2Rh3 at its relaxed geometry.

extended XYZ file:
```
12
Lattice="-2.455 -2.977 -1.688 7.545 -0.996 -3.964 -0.486 -4.009 7.775" Properties=species:S:1:pos:R:3 pbc="T T T"
Sr 2.866 -7.233 3.332
Sr 1.738 -0.748 -1.209
Bi 5.379 -5.418 1.729
Bi -0.775 -2.563 0.394
Bi 2.384 -4.166 -1.375
Bi 2.220 -3.815 3.498
Rh 3.612 -3.564 1.032
Rh 4.194 -6.088 -0.618
Rh -0.597 -4.457 3.473
Rh 5.201 -3.524 -1.351
Rh 0.410 -1.892 2.741
Rh 0.992 -4.417 1.091
```

Calculated values
M_tot   0.00 μB per formula unit
Symmetry   C2/m, No. 12
VASP energy   -5.507 eV per atom
Excess energy over the best structure of this formula in the dataset   50.0 meV per atom

no.,DOS(E_F) (states/eV/cell)
1,11.88
2,4.80
3,5.52
4,3.04
5,4.64
6,9.80